First-principles (GGA-PBE) data for an optimized crystal structure of CsAs2Pb2, as listed in Alexandria via LeMat-Bulk.

As for the calculated total energy: -36.7 eV per cell. The total moment comes out at 0.0 μB per cell. For the excess energy over the best structure of this formula in the dataset, the calculation gives 12 meV/atom. For the energy relative to the elements, the calculation gives -161 meV/atom.

The space group is I4/mmm (No. 139) and the conventional cell measures 5.1974, 5.1974 and 12.4398 Å, with angles of 90.00, 90.00 and 90.00 degrees. The inequivalent atoms are Cs at (0.0000, 0.0000, 0.0000), As at (0.0000, 0.0000, 0.3835) and Pb at (0.0000, 0.5000, 0.2500).